Record 1
Density functional theory data (GGA-PBE) for a geometry-optimized Ta2Ti3Nb2 structure.

* polymorph energy (0 for the lowest one): 0 meV/atom
* formation energy from the elements: 23 kJ/mol of formula units
* D(E_F): 12.2 states/eV per cell
* ρ: 9.24 Mg/m³
* electronic total energy: -67.3 eV per cell

abc: 3.2933 5.4700 7.3100
angles: 82.06 89.86 72.53
Space group P-1 (No. 2)
One atom of each set of equivalent atoms:
1 Ta 0.1450 0.2100 0.4176 (multiplicity 2)
2 Ti 0.0000 0.5000 0.0000 (multiplicity 1)
3 Ti 0.4252 0.6500 0.2945 (multiplicity 2)
4 Nb 0.2857 0.9285 0.8616 (multiplicity 2)


Record 2
Density functional theory data (GGA-PBE) for a geometry-optimized Ta6TiNb3 structure.

* polymorph energy (0 for the lowest one): 0 meV/atom
* formation energy from the elements: 11 kJ/mol of formula units
* D(E_F): 33.1 states/eV per cell
* ρ: 12.94 Mg/m³
* electronic total energy: -218.2 eV per cell

abc: 8.1069 4.6965 9.8895
angles: 90.00 105.75 90.00
Space group P2_1/m (No. 11)
One atom of each set of equivalent atoms:
1 Ta 0.0484 0.2500 0.3992 (multiplicity 2)
2 Ta 0.1468 0.7500 0.1980 (multiplicity 2)
3 Ta 0.2490 0.2500 0.9974 (multiplicity 2)
4 Ta 0.3479 0.7500 0.7991 (multiplicity 2)
5 Ta 0.3518 0.2500 0.2952 (multiplicity 2)
6 Ta 0.4485 0.2500 0.5985 (multiplicity 2)
7 Ti 0.4491 0.7500 0.1022 (multiplicity 2)
8 Nb 0.0523 0.7500 0.9013 (multiplicity 2)
9 Nb 0.1541 0.2500 0.7008 (multiplicity 2)
10 Nb 0.2518 0.7500 0.4979 (multiplicity 2)